Entry 1:
{
  "formula": "LiZrTaFe",
  "functional": "PBE",
  "state": "optimized geometry",
  "lattice": [[0.0000, 3.1423, 3.1423], [3.1423, 0.0000, 3.1423], [3.1423, 3.1423, 0.0000]],
  "species": ["Fe", "Li", "Ta", "Zr"],
  "fractional_positions": [[0.5000, 0.5000, 0.5000], [0.7500, 0.7500, 0.7500], [0.2500, 0.2500, 0.2500], [0.0000, 0.0000, 0.0000]],
  "total_magnetization_mub_per_cell": 0.06,
  "e_tot_ev_per_atom": -7.2839,
  "vol_a3_per_atom": 15.5,
  "density_g_cm3": 8.963
}



Entry 2:
{
  "formula": "YCoBPt",
  "functional": "PBE",
  "state": "optimized geometry",
  "lattice": [[0.0000, 3.1577, 3.1577], [3.1577, 0.0000, 3.1577], [3.1577, 3.1577, 0.0000]],
  "species": ["B", "Co", "Pt", "Y"],
  "fractional_positions": [[0.0000, 0.0000, 0.0000], [0.7500, 0.7500, 0.7500], [0.5000, 0.5000, 0.5000], [0.2500, 0.2500, 0.2500]],
  "total_magnetization_mub_per_cell": 1.62,
  "e_tot_ev_per_atom": -6.3242,
  "vol_a3_per_atom": 15.7,
  "density_g_cm3": 9.328
}



Entry 3:
{
  "formula": "GdGeTe3Au",
  "functional": "PBE",
  "state": "optimized geometry",
  "lattice": [[-1.5300, 6.3937, -10.3281], [-4.4140, -0.4188, 0.3946], [-0.4390, 11.2477, 7.0280]],
  "species": ["Au", "Au", "Au", "Au", "Gd", "Gd", "Gd", "Gd", "Ge", "Ge", "Ge", "Ge", "Te", "Te", "Te", "Te", "Te", "Te", "Te", "Te", "Te", "Te", "Te", "Te"],
  "fractional_positions": [[0.7274, 0.5000, 0.2077], [0.2274, 0.0000, 0.2923], [0.7726, 0.5000, 0.7077], [0.2726, 0.0000, 0.7923], [0.7004, 0.0000, 0.0334], [0.2004, 0.5000, 0.4666], [0.7996, 0.0000, 0.5334], [0.2996, 0.5000, 0.9666], [0.3926, 0.5000, 0.2327], [0.8926, 0.0000, 0.2673], [0.1074, 0.5000, 0.7327], [0.6074, 0.0000, 0.7673], [0.8712, 0.5000, 0.0533], [0.4440, 0.0000, 0.0938], [0.1689, 0.5000, 0.1837], [0.6689, 0.0000, 0.3163], [0.9440, 0.5000, 0.4062], [0.3712, 0.0000, 0.4467], [0.6288, 0.5000, 0.5533], [0.0560, 0.0000, 0.5938], [0.3311, 0.5000, 0.6837], [0.8311, 0.0000, 0.8163], [0.5560, 0.5000, 0.9062], [0.1288, 0.0000, 0.9467]],
  "total_magnetization_mub_per_cell": 0.01,
  "e_tot_ev_per_atom": -4.2338,
  "vol_a3_per_atom": 30.1,
  "density_g_cm3": 7.436
}



Entry 4:
{
  "formula": "NbCuHgPt",
  "functional": "PBE",
  "state": "optimized geometry",
  "lattice": [[0.0000, 3.2048, 3.2048], [3.2048, 0.0000, 3.2048], [3.2048, 3.2048, 0.0000]],
  "species": ["Cu", "Hg", "Nb", "Pt"],
  "fractional_positions": [[0.7500, 0.7500, 0.7500], [0.2500, 0.2500, 0.2500], [0.0000, 0.0000, 0.0000], [0.5000, 0.5000, 0.5000]],
  "total_magnetization_mub_per_cell": 0.00,
  "e_tot_ev_per_atom": -4.9333,
  "vol_a3_per_atom": 16.5,
  "e_form_ev_per_fu": 0.4,
  "density_g_cm3": 13.927
}



Entry 5:
{
  "formula": "TaW",
  "functional": "PBE",
  "state": "optimized geometry",
  "lattice": [[5.3784, 0.0000, 0.0000], [-2.6892, 4.6578, 0.0000], [0.0000, 0.0000, 8.5315]],
  "species": ["Ta", "Ta", "Ta", "Ta", "Ta", "Ta", "W", "W", "W", "W", "W", "W"],
  "fractional_positions": [[0.3401, 0.1700, 0.2500], [0.8300, 0.1700, 0.2500], [0.8300, 0.6599, 0.2500], [0.1700, 0.3401, 0.7500], [0.1700, 0.8300, 0.7500], [0.6599, 0.8300, 0.7500], [0.0000, 0.0000, 0.0000], [0.3333, 0.6667, 0.0504], [0.3333, 0.6667, 0.4496], [0.0000, 0.0000, 0.5000], [0.6667, 0.3333, 0.5504], [0.6667, 0.3333, 0.9496]],
  "total_magnetization_mub_per_cell": 0.00,
  "e_tot_ev_per_atom": -11.9837,
  "vol_a3_per_atom": 17.8,
  "e_form_ev_per_fu": 0.8,
  "density_g_cm3": 17.005
}



Entry 6:
{
  "formula": "PuHgGe",
  "functional": "PBE",
  "state": "optimized geometry",
  "lattice": [[0.0000, 3.4052, 3.4052], [3.4052, 0.0000, 3.4052], [3.4052, 3.4052, 0.0000]],
  "species": ["Ge", "Hg", "Pu"],
  "fractional_positions": [[0.2500, 0.2500, 0.2500], [0.7500, 0.7500, 0.7500], [0.0000, 0.0000, 0.0000]],
  "total_magnetization_mub_per_cell": 5.29,
  "e_tot_ev_per_atom": -6.2543,
  "vol_a3_per_atom": 26.3,
  "density_g_cm3": 10.876
}



Entry 7:
{
  "formula": "Cu2Ag3",
  "functional": "PBE",
  "state": "optimized geometry",
  "lattice": [[7.6463, -1.4276, 0.0000], [7.6463, 1.4276, 0.0000], [-1.7579, 0.0000, 7.1152]],
  "species": ["Ag", "Ag", "Ag", "Ag", "Ag", "Ag", "Cu", "Cu", "Cu", "Cu"],
  "fractional_positions": [[0.5954, 0.5954, 0.0173], [0.1987, 0.1987, 0.3401], [0.4006, 0.4006, 0.4207], [0.5994, 0.5994, 0.5793], [0.8013, 0.8013, 0.6599], [0.4046, 0.4046, 0.9827], [0.7908, 0.7908, 0.1350], [0.0147, 0.0147, 0.2622], [0.9853, 0.9853, 0.7378], [0.2092, 0.2092, 0.8650]],
  "e_tot_ev_per_atom": -3.0992,
  "vol_a3_per_atom": 15.5,
  "e_form_ev_per_fu": 0.4,
  "density_g_cm3": 9.636
}



Entry 8:
{
  "formula": "Hg3Bi2Te2Cl8",
  "functional": "PBE",
  "state": "optimized geometry",
  "lattice": [[8.8809, -3.9051, 0.0000], [8.8809, 3.9051, 0.0000], [-3.4571, 0.0000, 13.1667]],
  "species": ["Bi", "Bi", "Bi", "Bi", "Cl", "Cl", "Cl", "Cl", "Cl", "Cl", "Cl", "Cl", "Cl", "Cl", "Cl", "Cl", "Cl", "Cl", "Cl", "Cl", "Hg", "Hg", "Hg", "Hg", "Hg", "Hg", "Te", "Te", "Te", "Te"],
  "fractional_positions": [[0.7274, 0.1945, 0.0632], [0.8055, 0.2726, 0.4368], [0.1945, 0.7274, 0.5632], [0.2726, 0.8055, 0.9368], [0.2815, 0.0658, 0.0241], [0.6246, 0.5776, 0.0354], [0.1097, 0.8917, 0.1130], [0.6275, 0.1703, 0.2247], [0.8297, 0.3725, 0.2753], [0.1083, 0.8903, 0.3870], [0.4224, 0.3754, 0.4646], [0.9342, 0.7185, 0.4759], [0.0658, 0.2815, 0.5241], [0.5776, 0.6246, 0.5354], [0.8917, 0.1097, 0.6130], [0.1703, 0.6275, 0.7247], [0.3725, 0.8297, 0.7753], [0.8903, 0.1083, 0.8870], [0.3754, 0.4224, 0.9646], [0.7185, 0.9342, 0.9759], [0.0000, 0.5000, 0.0000], [0.7393, 0.7694, 0.2448], [0.2306, 0.2607, 0.2552], [0.5000, 0.0000, 0.5000], [0.7694, 0.7393, 0.7448], [0.2607, 0.2306, 0.7552], [0.0849, 0.5874, 0.1951], [0.4126, 0.9151, 0.3049], [0.5874, 0.0849, 0.6951], [0.9151, 0.4126, 0.8049]],
  "e_tot_ev_per_atom": -2.7279,
  "vol_a3_per_atom": 30.4,
  "density_g_cm3": 5.668
}



Entry 9:
{
  "formula": "Nd2Dy2CBr2Cl3",
  "functional": "PBE",
  "state": "optimized geometry",
  "lattice": [[8.9727, -1.9266, 0.0000], [8.9727, 1.9266, 0.0000], [-1.9148, 0.0000, 7.9158]],
  "species": ["Br", "Br", "C", "Cl", "Cl", "Cl", "Dy", "Dy", "Nd", "Nd"],
  "fractional_positions": [[0.8270, 0.8270, 0.1605], [0.1730, 0.1730, 0.8395], [0.5000, 0.5000, 0.0000], [0.1641, 0.1641, 0.3181], [0.5000, 0.5000, 0.5000], [0.8359, 0.8359, 0.6819], [0.6375, 0.6375, 0.0759], [0.3625, 0.3625, 0.9241], [0.0003, 0.0003, 0.2147], [0.9997, 0.9997, 0.7853]],
  "total_magnetization_mub_per_cell": 0.01,
  "e_tot_ev_per_atom": -5.2726,
  "vol_a3_per_atom": 27.4,
  "density_g_cm3": 5.410
}